An optimized crystal structure of Mg2PRu. Source: Alexandria, functional PBE.

```
Mg2PRu
1.0
-3.3782 0.7904 -3.4411
-0.6208 -3.9252 -2.8435
0.0501 0.6431 4.8438
Mg P Ru
2 1 1
Cartesian
0.0000 0.0000 0.0000
-1.2851 -2.4247 -0.5710
-1.9995 -1.5674 -3.1423
-2.6638 -0.0669 -0.8698
```

Its formation energy is -120 meV per atom. The density comes out at 4.9 g/cm3. For the density of states at the Fermi level, the calculation gives 4.1 states/eV/f.u. The total energy is -4.59 eV/atom. The value obtained for the total moment is 0.00 μB/f.u.